No. 1
Ti2GeSb (PBE, relaxed); ΔE to the lowest computed polymorph = 0.501 eV/atom; theoretical density = 4.40 g/cm³; uncorrected formation energy = 0.30 eV per atom
1.0
5.986 0.000 0.000
0.000 5.986 0.000
0.000 0.000 12.230
Ti Ge Sb
8 4 4
Direct
0.216 0.250 0.125
0.250 0.716 0.375
0.250 0.784 0.875
0.284 0.250 0.625
0.716 0.750 0.625
0.750 0.216 0.875
0.750 0.284 0.375
0.784 0.750 0.125
0.000 0.000 0.000
0.000 0.500 0.250
0.500 0.000 0.750
0.500 0.500 0.500
0.000 0.000 0.500
0.000 0.500 0.750
0.500 0.000 0.250
0.500 0.500 0.000

---

No. 2
Ti4GeSb (PBE, relaxed); ΔE to the lowest computed polymorph = 0.151 eV/atom; theoretical density = 5.81 g/cm³; uncorrected formation energy = -0.06 eV per atom
1.0
8.819 0.000 0.000
0.000 2.976 0.000
-4.018 0.000 8.399
Ti Ge Sb
8 2 2
Direct
0.146 0.000 0.323
0.154 0.500 0.851
0.346 0.000 0.149
0.354 0.500 0.677
0.646 0.500 0.323
0.654 0.000 0.851
0.846 0.500 0.149
0.854 0.000 0.677
0.000 0.000 0.000
0.500 0.500 0.000
0.000 0.500 0.500
0.500 0.000 0.500

---

No. 3
Ti2GeSb (PBE, relaxed); ΔE to the lowest computed polymorph = 0.000 eV/atom; theoretical density = 6.63 g/cm³; uncorrected formation energy = -0.20 eV per atom
1.0
6.626 0.000 0.000
0.000 6.626 0.000
0.000 0.000 6.626
Ti Ge Sb
8 4 4
Direct
0.250 0.250 0.250
0.250 0.250 0.750
0.250 0.750 0.250
0.250 0.750 0.750
0.750 0.250 0.250
0.750 0.250 0.750
0.750 0.750 0.250
0.750 0.750 0.750
0.000 0.000 0.000
0.000 0.500 0.500
0.500 0.000 0.500
0.500 0.500 0.000
0.000 0.000 0.500
0.000 0.500 0.000
0.500 0.000 0.000
0.500 0.500 0.500

---

Q: uncorrected formation energy of number 1 (Ti2GeSb)?
A: 0.30 eV per atom

---

Q: The lowest ΔE to the lowest computed polymorph belongs to which entry?
A: number 3

---

Copy entry 3 word for word.
Ti2GeSb (PBE, relaxed); ΔE to the lowest computed polymorph = 0.000 eV/atom; theoretical density = 6.63 g/cm³; uncorrected formation energy = -0.20 eV per atom
1.0
6.626 0.000 0.000
0.000 6.626 0.000
0.000 0.000 6.626
Ti Ge Sb
8 4 4
Direct
0.250 0.250 0.250
0.250 0.250 0.750
0.250 0.750 0.250
0.250 0.750 0.750
0.750 0.250 0.250
0.750 0.250 0.750
0.750 0.750 0.250
0.750 0.750 0.750
0.000 0.000 0.000
0.000 0.500 0.500
0.500 0.000 0.500
0.500 0.500 0.000
0.000 0.000 0.500
0.000 0.500 0.000
0.500 0.000 0.000
0.500 0.500 0.500

---

Q: Look up the ΔE to the lowest computed polymorph of the first one.
A: 0.501 eV/atom